Record 1
Compound: NaBiPb
Source: Alexandria via LeMat-Bulk
Functional: PBE
Structure: optimized geometry

Properties
Calculated formation energy: -0.20 eV/atom
Relative energy among the computed polymorphs: 0.0000 eV per atom
M_tot: 0.0 μB/cell

a b c (Å): 5.305 7.521 5.652
angles (deg): 90.00 117.92 90.00
Space group P2_1 (No. 4)
Asymmetric unit:
Na  0.015  0.000  0.032 (multiplicity 2)
Bi  0.341  0.793  0.682 (multiplicity 2)
Pb  0.335  0.217  0.670 (multiplicity 2)



Record 2
Compound: SrCr2C
Source: Alexandria via LeMat-Bulk
Functional: PBE
Structure: optimized geometry

Properties
Calculated formation energy: 0.57 eV/atom
M_tot: 43.3 μB/cell

a b c (Å): 8.773 8.773 8.773
angles (deg): 90.00 90.00 90.00
Space group Fd-3m (No. 227, origin choice 2)
Asymmetric unit:
Sr  0.125  0.125  0.125 (multiplicity 8)
Cr  0.000  0.000  0.500 (multiplicity 16)
C  0.125  0.125  0.625 (multiplicity 8)



Record 3
Compound: Sc2FeAs2
Source: Alexandria via LeMat-Bulk
Functional: PBE
Structure: optimized geometry

Properties
Calculated formation energy: -0.76 eV/atom
M_tot: 0.0 μB/cell

a b c (Å): 6.332 6.332 4.148
angles (deg): 90.00 90.00 90.00
Space group P4/mbm (No. 127)
Asymmetric unit:
Sc  0.170  0.330  0.000 (multiplicity 4)
Fe  0.000  0.000  0.500 (multiplicity 2)
As  0.148  0.648  0.500 (multiplicity 4)



Record 4
Compound: Pr2TaN3O
Source: Alexandria via LeMat-Bulk
Functional: PBE
Structure: optimized geometry

Properties
Formation energy (no corrections): -1.680 eV per atom
M_tot: 0.0 μB/cell

a b c (Å): 3.980 4.059 12.811
angles (deg): 90.00 90.00 90.00
Space group Immm (No. 71)
Asymmetric unit:
Pr  0.000  0.000  0.149 (multiplicity 4)
Ta  0.000  0.000  0.500 (multiplicity 2)
N  0.000  0.000  0.334 (multiplicity 4)
N  0.000  0.500  0.500 (multiplicity 2)
O  0.000  0.500  0.000 (multiplicity 2)